Record 1
A relaxed La2YPt crystal, computed with PBE.

Relative energy among the computed polymorphs = 0.361 eV/atom
Calculated formation energy = -111 kJ/mol of formula units
Fermi-level density of states = 5.86 states/eV per cell

Geometry as CIF:
```
data_La2YPt
_cell_length_a 5.2862
_cell_length_b 5.2862
_cell_length_c 5.2862
_cell_angle_alpha 60.00
_cell_angle_beta 60.00
_cell_angle_gamma 60.00
_space_group_name_H-M_alt 'P 1'
_space_group_IT_number 1
loop_
_space_group_symop_operation_xyz
'x,y,z'
loop_
_atom_site_label
_atom_site_fract_x
_atom_site_fract_y
_atom_site_fract_z
La1 0.0000 0.0000 0.0000
La2 0.2500 0.2500 0.2500
Pt1 0.5000 0.5000 0.5000
Y1 0.7500 0.7500 0.7500
```

=====

Record 2
A relaxed Cd2ReAu crystal, computed with PBE.

Relative energy among the computed polymorphs = 0.041 eV/atom
Calculated formation energy = 142 kJ/mol of formula units
Fermi-level density of states = 3.01 states/eV per cell

Geometry as CIF:
```
data_Cd2ReAu
_cell_length_a 2.8407
_cell_length_b 2.8407
_cell_length_c 8.9742
_cell_angle_alpha 90.00
_cell_angle_beta 90.00
_cell_angle_gamma 90.00
_space_group_name_H-M_alt 'P 1'
_space_group_IT_number 1
loop_
_space_group_symop_operation_xyz
'x,y,z'
loop_
_atom_site_label
_atom_site_fract_x
_atom_site_fract_y
_atom_site_fract_z
Re1 0.5000 0.5000 0.2500
Au1 0.5000 0.5000 0.7500
Cd1 0.0000 0.0000 0.0051
Cd2 0.0000 0.0000 0.4949
```

=====

Record 3
A relaxed YEr3Te4 crystal, computed with PBE.

Relative energy among the computed polymorphs = 0.000 eV/atom
ΔE_f (raw) = -1.23 eV/atom
Fermi-level density of states = 4.75 states/eV per cell

Geometry as CIF:
```
data_YEr3Te4
_cell_length_a 4.2687
_cell_length_b 7.5392
_cell_length_c 7.5393
_cell_angle_alpha 71.28
_cell_angle_beta 90.00
_cell_angle_gamma 90.00
_space_group_name_H-M_alt 'P 1'
_space_group_IT_number 1
loop_
_space_group_symop_operation_xyz
'x,y,z'
loop_
_atom_site_label
_atom_site_fract_x
_atom_site_fract_y
_atom_site_fract_z
Te1 0.0000 0.7529 0.7472
Te2 0.5000 0.2487 0.7487
Te3 0.0000 0.2474 0.2526
Te4 0.4999 0.7515 0.2513
Y1 0.5000 0.5002 0.9999
Er1 0.5000 0.0002 0.4999
Er2 0.9999 0.0001 0.0000
Er3 0.9999 0.5001 0.5000
```

=====

Record 4
A relaxed Nd5BN6 crystal, computed with PBE.

ΔE_f (raw) = -0.88 eV/atom

Geometry as CIF:
```
data_Nd5BN6
_cell_length_a 6.3956
_cell_length_b 5.9638
_cell_length_c 6.3205
_cell_angle_alpha 61.85
_cell_angle_beta 85.94
_cell_angle_gamma 81.36
_space_group_name_H-M_alt 'P 1'
_space_group_IT_number 1
loop_
_space_group_symop_operation_xyz
'x,y,z'
loop_
_atom_site_label
_atom_site_fract_x
_atom_site_fract_y
_atom_site_fract_z
N1 0.6993 0.4910 0.6531
N2 0.1146 0.1821 0.0000
N3 0.3007 0.8559 0.6531
N4 0.6993 0.1441 0.3469
N5 0.8854 0.8179 0.0000
N6 0.3007 0.5090 0.3469
Nd1 0.5000 0.5000 0.0000
Nd2 0.5000 0.1740 0.6520
Nd3 0.0000 0.3395 0.3211
Nd4 0.5000 0.8260 0.3480
Nd5 0.0000 0.6605 0.6789
B1 0.0000 0.0000 0.0000
```

=====

no.,VASP energy (Ry/atom)
1,-0.4320
2,-0.2956
3,-0.3913
4,-0.5574